# 1
DFT (PBE) results for a relaxed structure of MgBe2Au.

a = 4.235 Å, b = 4.235 Å, c = 4.235 Å
α = 60.00°, β = 60.00°, γ = 60.00°
Fractional positions:
Be1 0.000 0.000 0.000
Mg1 0.750 0.750 0.750
Be2 0.250 0.250 0.250
Au1 0.500 0.500 0.500

Results
- calculated total energy (eV/atom) = -3.026
- crystal system = cubic
- magnetization (μB per cell) = 0.0
- SG = F-43m (216)



# 2
DFT (PBE) results for a relaxed structure of CrHg2Os.

a = 9.388 Å, b = 9.388 Å, c = 9.388 Å
α = 18.39°, β = 18.39°, γ = 18.39°
Fractional positions:
Hg1 0.499 0.499 0.499
Hg2 0.001 0.001 0.001
Os1 0.250 0.250 0.250
Cr1 0.750 0.750 0.750

Results
- polymorph energy (0 for the lowest one) (meV/atom) = 453
- crystal system = trigonal
- magnetization (μB per cell) = 3.2
- SG = R-3m (166)



# 3
DFT (PBE) results for a relaxed structure of Sr2Mg17Cd3.

a = 8.446 Å, b = 8.446 Å, c = 8.446 Å
α = 84.10°, β = 84.10°, γ = 84.10°
Fractional positions:
Mg1 0.743 0.000 0.257
Sr1 0.347 0.347 0.347
Mg2 0.000 0.257 0.743
Cd1 0.500 0.000 0.500
Mg3 0.186 0.670 0.670
Mg4 0.103 0.103 0.103
Mg5 0.330 0.814 0.330
Mg6 0.500 0.000 0.000
Mg7 0.330 0.330 0.814
Mg8 0.814 0.330 0.330
Mg9 0.257 0.743 0.000
Mg10 0.743 0.257 0.000
Mg11 0.670 0.670 0.186
Cd2 0.500 0.500 0.000
Mg12 0.670 0.186 0.670
Sr2 0.653 0.653 0.653
Cd3 0.000 0.500 0.500
Mg13 0.000 0.743 0.257
Mg14 0.000 0.500 0.000
Mg15 0.000 0.000 0.500
Mg16 0.897 0.897 0.897
Mg17 0.257 0.000 0.743

Results
- calculated total energy (eV/atom) = -1.457
- crystal system = trigonal
- magnetization (μB per cell) = 0.0
- SG = R-3m (166)



# 4
DFT (PBE) results for a relaxed structure of Si2TcP.

a = 3.223 Å, b = 3.223 Å, c = 5.154 Å
α = 90.00°, β = 90.00°, γ = 90.00°
Fractional positions:
Tc1 0.500 0.500 0.250
Si1 0.000 0.000 0.512
P1 0.500 0.500 0.750
Si2 0.000 0.000 0.988

Results
- energy relative to the elements, uncorrected (eV per formula unit) = 0.314
- crystal system = tetragonal
- magnetization (μB per cell) = 0.0
- SG = P4/mmm (123)



- Look up the magnetization of the second one.
  3.2 μB per cell



What did the fourth record say?
DFT (PBE) results for a relaxed structure of Si2TcP.

a = 3.223 Å, b = 3.223 Å, c = 5.154 Å
α = 90.00°, β = 90.00°, γ = 90.00°
Fractional positions:
Tc1 0.500 0.500 0.250
Si1 0.000 0.000 0.512
P1 0.500 0.500 0.750
Si2 0.000 0.000 0.988

Results
- energy relative to the elements, uncorrected (eV per formula unit) = 0.314
- crystal system = tetragonal
- magnetization (μB per cell) = 0.0
- SG = P4/mmm (123)



What did the first record say?
DFT (PBE) results for a relaxed structure of MgBe2Au.

a = 4.235 Å, b = 4.235 Å, c = 4.235 Å
α = 60.00°, β = 60.00°, γ = 60.00°
Fractional positions:
Be1 0.000 0.000 0.000
Mg1 0.750 0.750 0.750
Be2 0.250 0.250 0.250
Au1 0.500 0.500 0.500

Results
- calculated total energy (eV/atom) = -3.026
- crystal system = cubic
- magnetization (μB per cell) = 0.0
- SG = F-43m (216)



- Which value of magnetization does entry 3 give?
  0.0 μB per cell